## PuWN2 (PBE-GGA)

Data for a relaxed structure of PuWN2.

a b c (Å): 5.6241 3.2248 10.8098
angles (deg): 90.00 90.00 90.00
Closest atoms and distances in Å follow each position.
Atoms (fractional coordinates):
Pu: 0.0764 0.2500 0.1423  7 N 2.35-2.49
Pu: 0.4236 0.7500 0.6423  7 N 2.35-2.49
Pu: 0.5764 0.2500 0.3577  7 N 2.35-2.49
Pu: 0.9236 0.7500 0.8577  7 N 2.35-2.49
W: 0.0704 0.7500 0.3975  5 N 2.11-2.18
W: 0.4296 0.2500 0.8975  5 N 2.11-2.18
W: 0.5704 0.7500 0.1025  5 N 2.11-2.18
W: 0.9296 0.2500 0.6025  5 N 2.11-2.18
N: 0.1644 0.2500 0.7550  2 W 2.11-2.14
N: 0.2476 0.7500 0.9950  3 W 2.16-2.18, 1 Pu 2.35
N: 0.2524 0.2500 0.4950  3 W 2.16-2.18, 1 Pu 2.35
N: 0.3356 0.7500 0.2550  2 W 2.11-2.14
N: 0.6644 0.2500 0.7450  2 W 2.11-2.14
N: 0.7476 0.7500 0.5050  3 W 2.16-2.18, 1 Pu 2.35
N: 0.7524 0.2500 0.0050  3 W 2.16-2.18, 1 Pu 2.35
N: 0.8356 0.7500 0.2450  2 W 2.11-2.14

Formation energy (no corrections)   -0.920 eV/atom
E   -11.904 eV per atom
Energy above the lowest structure with this stoichiometry   0 meV per atom

## PrScPd4 (PBE-GGA)

Data for a relaxed structure of PrScPd4.

a b c (Å): 10.0866 10.0866 5.6623
angles (deg): 90.00 90.00 156.27
Closest atoms and distances in Å follow each position.
Atoms (fractional coordinates):
Pr: 0.2209 0.7791 0.7500  7 Pd 2.96-3.06
Pr: 0.7791 0.2209 0.2500  7 Pd 2.96-3.06
Sc: 0.0723 0.9277 0.2500  11 Pd 2.79-2.89
Sc: 0.9277 0.0723 0.7500  11 Pd 2.79-2.89
Pd: 0.0690 0.9310 0.7500  3 Sc 2.79-2.83, 8 Pd 2.86-2.89, 1 Pr 3.00
Pd: 0.3583 0.6417 0.9996  5 Pd 2.80-2.89, 2 Sc 2.86, 3 Pr 2.96-3.06
Pd: 0.3583 0.6417 0.5004  5 Pd 2.80-2.89, 2 Sc 2.86, 3 Pr 2.96-3.06
Pd: 0.5000 0.5000 0.0000  8 Pd 2.80-2.86, 4 Sc 2.89
Pd: 0.5000 0.5000 0.5000  8 Pd 2.80-2.86, 4 Sc 2.89
Pd: 0.6417 0.3583 0.0004  5 Pd 2.80-2.89, 2 Sc 2.86, 3 Pr 2.96-3.06
Pd: 0.6417 0.3583 0.4996  5 Pd 2.80-2.89, 2 Sc 2.86, 3 Pr 2.96-3.06
Pd: 0.9310 0.0690 0.2500  3 Sc 2.79-2.83, 8 Pd 2.86-2.89, 1 Pr 3.00

E   -6.109 eV per atom
Energy above the lowest structure with this stoichiometry   0 meV per atom

## SrSNF2 (PBE-GGA)

Data for a relaxed structure of SrSNF2.

a b c (Å): 4.6766 4.6766 5.7616
angles (deg): 90.00 90.00 90.00
Closest atoms and distances in Å follow each position.
Atoms (fractional coordinates):
Sr: 0.0000 0.0000 0.0000  4 F 2.34
S: 0.5000 0.5000 0.5000  4 N 3.31
N: 0.0000 0.0000 0.5000  2 Sr 2.88
F: 0.0000 0.5000 0.0000  2 Sr 2.34
F: 0.5000 0.0000 0.0000  2 Sr 2.34

Formation energy (no corrections)   -0.506 eV/atom
E   -4.082 eV per atom
Energy above the lowest structure with this stoichiometry   632 meV per atom

## Ba4SbAu (PBE-GGA)

Data for a relaxed structure of Ba4SbAu.

a b c (Å): 7.0813 7.0813 7.0813
angles (deg): 60.00 60.00 60.00
Closest atoms and distances in Å follow each position.
Atoms (fractional coordinates):
Ba: 0.1241 0.1241 0.1241  6 Ba 3.51-3.57
Ba: 0.1241 0.1241 0.6277  6 Ba 3.51-3.57
Ba: 0.1241 0.6277 0.1241  6 Ba 3.51-3.57
Ba: 0.6277 0.1241 0.1241  6 Ba 3.51-3.57
Sb: 0.7500 0.7500 0.7500  12 Ba 4.15, 4 Au 4.34
Au: 0.5000 0.5000 0.5000  12 Ba 4.15, 4 Sb 4.34

Formation energy (no corrections)   0.134 eV/atom
E   -2.381 eV per atom

## TmPuCd2 (PBE-GGA)

Data for a relaxed structure of TmPuCd2.

a b c (Å): 5.4310 5.4310 3.5460
angles (deg): 90.00 90.00 90.00
Closest atoms and distances in Å follow each position.
Atoms (fractional coordinates):
Tm: 0.0000 0.0000 0.0000  8 Cd 3.24, 2 Tm 3.55
Pu: 0.5000 0.5000 0.0000  8 Cd 3.24, 2 Pu 3.55
Cd: 0.0000 0.5000 0.5000  4 Tm 3.24, 4 Pu 3.24, 2 Cd 3.55
Cd: 0.5000 0.0000 0.5000  4 Tm 3.24, 4 Pu 3.24, 2 Cd 3.55

E   -5.268 eV per atom
Energy above the lowest structure with this stoichiometry   8 meV per atom

## YNiHgRu2 (PBE-GGA)

Data for a relaxed structure of YNiHgRu2.

a b c (Å): 4.8645 4.8645 5.5204
angles (deg): 90.00 90.00 90.00
Closest atoms and distances in Å follow each position.
Atoms (fractional coordinates):
Y: 0.0000 0.0000 0.0000  4 Ru 2.43
Ni: 0.5000 0.5000 0.5000  4 Hg 3.44, 8 Ru 3.68
Hg: 0.0000 0.0000 0.5000  2 Y 2.76
Ru: 0.0000 0.5000 0.0000  2 Y 2.43
Ru: 0.5000 0.0000 0.0000  2 Y 2.43

E   -4.300 eV per atom

## K2ZnTe2 (PBE-GGA)

Data for a relaxed structure of K2ZnTe2.

a b c (Å): 6.8116 6.8116 13.6349
angles (deg): 90.00 90.00 90.00
Closest atoms and distances in Å follow each position.
Atoms (fractional coordinates):
K: 0.0000 0.5000 0.2500  4 Te 3.54
K: 0.0000 0.5000 0.7500  4 Te 3.54
K: 0.5000 0.0000 0.2500  4 Te 3.54
K: 0.5000 0.0000 0.7500  4 Te 3.54
Zn: 0.0000 0.0000 0.0000  2 Te 2.45
Zn: 0.5000 0.5000 0.5000  2 Te 2.45
Te: 0.0000 0.0000 0.1798  1 Zn 2.45
Te: 0.0000 0.0000 0.8202  1 Zn 2.45
Te: 0.5000 0.5000 0.3202  1 Zn 2.45
Te: 0.5000 0.5000 0.6798  1 Zn 2.45

Formation energy (no corrections)   -0.752 eV/atom
E   -2.702 eV per atom
Energy above the lowest structure with this stoichiometry   126 meV per atom

## PuTh2Au8 (PBE-GGA)

Data for a relaxed structure of PuTh2Au8.

a b c (Å): 8.7052 8.7052 5.2352
angles (deg): 107.48 107.48 124.55
Closest atoms and distances in Å follow each position.
Atoms (fractional coordinates):
Pu: 0.0000 0.0000 0.0000  6 Au 3.10-3.36
Th: 0.3162 0.6838 0.5000  12 Au 3.10-3.21
Th: 0.6838 0.3162 0.5000  12 Au 3.10-3.21
Au: 0.0930 0.3602 0.7267  4 Au 2.80-3.06
Au: 0.2008 0.7992 0.0000  6 Au 3.06-3.15, 1 Pu 3.10, 4 Th 3.10-3.16
Au: 0.3602 0.0930 0.7267  4 Au 2.80-3.06
Au: 0.4997 0.4997 0.2491  2 Au 2.61-2.62
Au: 0.5003 0.5003 0.7509  2 Au 2.61-2.62
Au: 0.6398 0.9070 0.2733  4 Au 2.80-3.06
Au: 0.7992 0.2008 0.0000  6 Au 3.06-3.15, 1 Pu 3.10, 4 Th 3.10-3.16
Au: 0.9070 0.6398 0.2733  4 Au 2.80-3.06

E   -5.593 eV per atom